Entry 1:
{
  "formula": "Tm3LuTe2C2",
  "functional": "PBE",
  "state": "relaxed",
  "cell": [[3.764, 0.000, 0.000], [-1.882, 3.260, 0.000], [0.000, 0.000, 13.781]],
  "species": ["Tm", "Tm", "Tm", "Lu", "Te", "Te", "C", "C"],
  "frac_coords": [[0.000, 0.000, 0.000], [0.000, 0.000, 0.316], [0.333, 0.667, 0.501], [0.333, 0.667, 0.816], [0.000, 0.000, 0.659], [0.333, 0.667, 0.158], [0.667, 0.333, 0.408], [0.667, 0.333, 0.907]],
  "final_energy_ev_per_cell": -49.80
}

---

Entry 2:
{
  "formula": "TmLuTeC",
  "functional": "PBE",
  "state": "relaxed",
  "cell": [[3.758, 0.000, 0.000], [-1.879, 3.255, 0.000], [0.000, 0.000, 13.749]],
  "species": ["Tm", "Tm", "Lu", "Lu", "Te", "Te", "C", "C"],
  "frac_coords": [[0.333, 0.667, 0.000], [0.667, 0.333, 0.500], [0.333, 0.667, 0.684], [0.667, 0.333, 0.184], [0.333, 0.667, 0.341], [0.667, 0.333, 0.841], [0.000, 0.000, 0.093], [0.000, 0.000, 0.593]],
  "final_energy_ev_per_cell": -49.85
}

---

Entry 3:
{
  "formula": "Lu3TlC2",
  "functional": "PBE",
  "state": "relaxed",
  "cell": [[3.517, 0.000, 0.000], [-1.759, 3.046, 0.000], [0.000, 0.000, 22.037]],
  "species": ["Lu", "Lu", "Lu", "Lu", "Lu", "Lu", "Tl", "Tl", "C", "C", "C", "C"],
  "frac_coords": [[0.000, 0.000, 0.000], [0.000, 0.000, 0.500], [0.333, 0.667, 0.121], [0.333, 0.667, 0.379], [0.667, 0.333, 0.621], [0.667, 0.333, 0.879], [0.000, 0.000, 0.250], [0.000, 0.000, 0.750], [0.333, 0.667, 0.570], [0.333, 0.667, 0.930], [0.667, 0.333, 0.070], [0.667, 0.333, 0.430]],
  "final_energy_ev_per_cell": -73.30
}

---

Entry 4:
{
  "formula": "TmLu3Tl2C2",
  "functional": "PBE",
  "state": "relaxed",
  "cell": [[3.535, 0.000, 0.000], [-1.768, 3.062, 0.000], [0.000, 0.000, 15.936]],
  "species": ["Tm", "Lu", "Lu", "Lu", "Tl", "Tl", "C", "C"],
  "frac_coords": [[0.000, 0.000, 0.000], [0.000, 0.000, 0.664], [0.667, 0.333, 0.165], [0.667, 0.333, 0.500], [0.000, 0.000, 0.332], [0.667, 0.333, 0.832], [0.333, 0.667, 0.083], [0.333, 0.667, 0.582]],
  "final_energy_ev_per_cell": -44.73
}

---

Entry 5:
{
  "formula": "Lu2Tl3W4C3",
  "functional": "PBE",
  "state": "relaxed",
  "cell": [[4.946, -2.879, 0.000], [4.946, 2.879, 0.000], [-3.417, 0.000, 14.102]],
  "species": ["Lu", "Lu", "Lu", "Lu", "Tl", "Tl", "Tl", "Tl", "Tl", "Tl", "W", "W", "W", "W", "W", "W", "W", "W", "C", "C", "C", "C", "C", "C"],
  "frac_coords": [[0.036, 0.878, 0.600], [0.122, 0.964, 0.900], [0.878, 0.036, 0.100], [0.964, 0.122, 0.400], [0.084, 0.304, 0.754], [0.304, 0.084, 0.254], [0.467, 0.533, 0.750], [0.533, 0.467, 0.250], [0.696, 0.916, 0.746], [0.916, 0.696, 0.246], [0.194, 0.347, 0.069], [0.301, 0.483, 0.431], [0.347, 0.194, 0.569], [0.483, 0.301, 0.931], [0.517, 0.699, 0.069], [0.653, 0.806, 0.431], [0.699, 0.517, 0.569], [0.806, 0.653, 0.931], [0.000, 0.500, 0.500], [0.169, 0.661, 0.000], [0.339, 0.831, 0.500], [0.500, 0.000, 0.000], [0.661, 0.169, 0.500], [0.831, 0.339, 0.000]],
  "final_energy_ev_per_cell": -191.59
}

---

Entry 6:
{
  "formula": "Lu4Tl3W2C3",
  "functional": "PBE",
  "state": "relaxed",
  "cell": [[5.065, -2.948, 0.000], [5.065, 2.948, 0.000], [-3.492, 0.000, 14.809]],
  "species": ["Lu", "Lu", "Lu", "Lu", "Lu", "Lu", "Lu", "Lu", "Tl", "Tl", "Tl", "Tl", "Tl", "Tl", "W", "W", "W", "W", "C", "C", "C", "C", "C", "C"],
  "frac_coords": [[0.044, 0.184, 0.089], [0.123, 0.303, 0.410], [0.184, 0.044, 0.589], [0.303, 0.123, 0.910], [0.697, 0.877, 0.090], [0.816, 0.956, 0.411], [0.877, 0.697, 0.590], [0.956, 0.816, 0.911], [0.119, 0.881, 0.250], [0.281, 0.419, 0.753], [0.419, 0.281, 0.253], [0.581, 0.719, 0.747], [0.719, 0.581, 0.247], [0.881, 0.119, 0.750], [0.344, 0.522, 0.066], [0.478, 0.656, 0.434], [0.522, 0.344, 0.566], [0.656, 0.478, 0.934], [0.000, 0.500, 0.000], [0.192, 0.654, 0.500], [0.346, 0.808, 0.000], [0.500, 0.000, 0.500], [0.654, 0.192, 0.000], [0.808, 0.346, 0.500]],
  "final_energy_ev_per_cell": -165.15
}

---

Entry 7:
{
  "formula": "Y2Lu4Tl3C3",
  "functional": "PBE",
  "state": "relaxed",
  "cell": [[5.340, -3.084, 0.000], [5.340, 3.084, 0.000], [-3.552, 0.000, 16.021]],
  "species": ["Y", "Y", "Y", "Y", "Lu", "Lu", "Lu", "Lu", "Lu", "Lu", "Lu", "Lu", "Tl", "Tl", "Tl", "Tl", "Tl", "Tl", "C", "C", "C", "C", "C", "C"],
  "frac_coords": [[0.029, 0.864, 0.587], [0.136, 0.971, 0.913], [0.864, 0.029, 0.087], [0.971, 0.136, 0.413], [0.193, 0.358, 0.080], [0.305, 0.475, 0.420], [0.358, 0.193, 0.580], [0.475, 0.305, 0.920], [0.525, 0.695, 0.080], [0.642, 0.807, 0.420], [0.695, 0.525, 0.580], [0.807, 0.642, 0.920], [0.082, 0.277, 0.749], [0.277, 0.082, 0.249], [0.442, 0.558, 0.750], [0.558, 0.442, 0.250], [0.723, 0.918, 0.751], [0.918, 0.723, 0.251], [0.000, 0.500, 0.500], [0.168, 0.663, 0.000], [0.337, 0.832, 0.500], [0.500, 0.000, 0.000], [0.663, 0.168, 0.500], [0.832, 0.337, 0.000]],
  "final_energy_ev_per_cell": -141.71
}

---

Entry 8:
{
  "formula": "Lu4TlZnC2",
  "functional": "PBE",
  "state": "relaxed",
  "cell": [[3.520, 0.000, 0.000], [-1.760, 3.049, 0.000], [0.000, 0.000, 15.316]],
  "species": ["Lu", "Lu", "Lu", "Lu", "Tl", "Zn", "C", "C"],
  "frac_coords": [[0.000, 0.000, 0.158], [0.000, 0.000, 0.842], [0.333, 0.667, 0.329], [0.333, 0.667, 0.671], [0.000, 0.000, 0.500], [0.333, 0.667, 0.000], [0.667, 0.333, 0.243], [0.667, 0.333, 0.757]],
  "final_energy_ev_per_cell": -43.12
}

---

Entry 9:
{
  "formula": "Lu4Zr2Tl3C3",
  "functional": "PBE",
  "state": "relaxed",
  "cell": [[5.218, -3.012, 0.000], [5.218, 3.012, 0.000], [-3.530, 0.000, 15.521]],
  "species": ["Lu", "Lu", "Lu", "Lu", "Lu", "Lu", "Lu", "Lu", "Zr", "Zr", "Zr", "Zr", "Tl", "Tl", "Tl", "Tl", "Tl", "Tl", "C", "C", "C", "C", "C", "C"],
  "frac_coords": [[0.034, 0.191, 0.086], [0.132, 0.305, 0.414], [0.191, 0.034, 0.586], [0.305, 0.132, 0.914], [0.695, 0.868, 0.086], [0.809, 0.966, 0.414], [0.868, 0.695, 0.586], [0.966, 0.809, 0.914], [0.354, 0.525, 0.077], [0.475, 0.646, 0.423], [0.525, 0.354, 0.577], [0.646, 0.475, 0.923], [0.105, 0.895, 0.250], [0.272, 0.417, 0.751], [0.417, 0.272, 0.251], [0.583, 0.728, 0.749], [0.728, 0.583, 0.249], [0.895, 0.105, 0.750], [0.000, 0.500, 0.000], [0.185, 0.658, 0.500], [0.342, 0.815, 0.000], [0.500, 0.000, 0.500], [0.658, 0.185, 0.000], [0.815, 0.342, 0.500]],
  "final_energy_ev_per_cell": -151.98
}

---

Entry 10:
{
  "formula": "Lu4Zn3W2C3",
  "functional": "PBE",
  "state": "relaxed",
  "cell": [[4.991, -2.907, 0.000], [4.991, 2.907, 0.000], [-3.623, 0.000, 13.735]],
  "species": ["Lu", "Lu", "Lu", "Lu", "Lu", "Lu", "Lu", "Lu", "Zn", "Zn", "Zn", "Zn", "Zn", "Zn", "W", "W", "W", "W", "C", "C", "C", "C", "C", "C"],
  "frac_coords": [[0.052, 0.187, 0.103], [0.115, 0.297, 0.397], [0.187, 0.052, 0.603], [0.297, 0.115, 0.897], [0.703, 0.885, 0.103], [0.813, 0.948, 0.397], [0.885, 0.703, 0.603], [0.948, 0.813, 0.897], [0.172, 0.828, 0.250], [0.329, 0.421, 0.753], [0.421, 0.329, 0.253], [0.579, 0.671, 0.747], [0.671, 0.579, 0.247], [0.828, 0.172, 0.750], [0.344, 0.525, 0.069], [0.475, 0.656, 0.431], [0.525, 0.344, 0.569], [0.656, 0.475, 0.931], [0.000, 0.500, 0.000], [0.192, 0.654, 0.500], [0.346, 0.808, 0.000], [0.500, 0.000, 0.500], [0.654, 0.192, 0.000], [0.808, 0.346, 0.500]],
  "final_energy_ev_per_cell": -159.33
}

---

Entry 11:
{
  "formula": "Lu2Zn3W4C3",
  "functional": "PBE",
  "state": "relaxed",
  "cell": [[4.708, -2.719, 0.000], [4.708, 2.719, 0.000], [-3.321, 0.000, 13.607]],
  "species": ["Lu", "Lu", "Lu", "Lu", "Zn", "Zn", "Zn", "Zn", "Zn", "Zn", "W", "W", "W", "W", "W", "W", "W", "W", "C", "C", "C", "C", "C", "C"],
  "frac_coords": [[0.041, 0.880, 0.616], [0.120, 0.959, 0.884], [0.880, 0.041, 0.116], [0.959, 0.120, 0.384], [0.088, 0.400, 0.752], [0.400, 0.088, 0.252], [0.429, 0.571, 0.250], [0.571, 0.429, 0.750], [0.600, 0.912, 0.748], [0.912, 0.600, 0.248], [0.194, 0.348, 0.079], [0.292, 0.485, 0.421], [0.348, 0.194, 0.579], [0.485, 0.292, 0.921], [0.515, 0.708, 0.079], [0.652, 0.806, 0.421], [0.708, 0.515, 0.579], [0.806, 0.652, 0.921], [0.000, 0.500, 0.500], [0.170, 0.661, 0.000], [0.339, 0.830, 0.500], [0.500, 0.000, 0.000], [0.661, 0.170, 0.500], [0.830, 0.339, 0.000]],
  "final_energy_ev_per_cell": -190.54
}

---

Entry 12:
{
  "formula": "YLu3C3",
  "functional": "PBE",
  "state": "relaxed",
  "cell": [[3.866, 0.000, 0.000], [-1.933, 3.348, 0.000], [0.000, 0.000, 19.674]],
  "species": ["Y", "Y", "Lu", "Lu", "Lu", "Lu", "Lu", "Lu", "C", "C", "C", "C", "C", "C"],
  "frac_coords": [[0.000, 0.000, 0.000], [0.000, 0.000, 0.500], [0.333, 0.667, 0.126], [0.333, 0.667, 0.374], [0.333, 0.667, 0.750], [0.667, 0.333, 0.250], [0.667, 0.333, 0.626], [0.667, 0.333, 0.874], [0.333, 0.667, 0.250], [0.333, 0.667, 0.580], [0.333, 0.667, 0.920], [0.667, 0.333, 0.080], [0.667, 0.333, 0.420], [0.667, 0.333, 0.750]],
  "final_energy_ev_per_cell": -98.69
}